Compound: TiBe2Ge
Source: Alexandria via LeMat-Bulk
Functional: PBE
Structure: relaxed

Its formation energy from the elements is -208 meV per atom. The total magnetization is 0.00 Bohr magnetons per cell. For the volume, the calculation gives 97.5 Å³ per cell. Its crystal system is orthorhombic. The electronic total energy is -41.59 eV/cell. As for the space group: No. 63.

abc: 3.576 4.985 5.863
angles: 90.00 90.00 111.02
Sites, in units of the cell vectors:
Ti: 0.931 0.862 0.250
Ti: 0.069 0.138 0.750
Be: 0.603 0.206 0.430
Be: 0.397 0.794 0.570
Be: 0.603 0.206 0.070
Be: 0.397 0.794 0.930
Ge: 0.785 0.569 0.750
Ge: 0.215 0.431 0.250

***

Compound: CaRhCl
Source: Alexandria via LeMat-Bulk
Functional: PBE
Structure: relaxed

The calculation puts the formation energy (no corrections) at -998 meV/atom. The total magnetization is 0.00 Bohr magnetons per cell. The calculation puts the energy above the lowest structure with this stoichiometry at 0.177 eV per atom. For the volume, the calculation gives 135.4 Å³ per cell. Its crystal system is orthorhombic. The electronic total energy is -28.39 eV/cell. As for the space group: No. 36.

abc: 4.162 8.082 4.165
angles: 75.07 90.01 90.00
Sites, in units of the cell vectors:
Cl: 0.558 0.802 0.119
Cl: 0.058 0.565 0.737
Ca: 0.223 0.972 0.534
Ca: 0.723 0.395 0.322
Rh: 0.238 0.269 0.885
Rh: 0.738 0.097 0.971

***

Compound: Tm2Hg4Pb3
Source: Alexandria via LeMat-Bulk
Functional: PBE
Structure: relaxed

Its formation energy from the elements is -211 meV per atom. The total magnetization is 0.00 Bohr magnetons per cell. For the volume, the calculation gives 236.9 Å³ per cell. Its crystal system is monoclinic. The electronic total energy is -23.17 eV/cell. As for the space group: No. 12.

abc: 4.587 5.615 10.557
angles: 74.05 77.45 65.89
Sites, in units of the cell vectors:
Tm: 0.344 0.101 0.211
Tm: 0.656 0.899 0.789
Pb: 0.670 0.224 0.436
Pb: 0.000 0.000 0.000
Pb: 0.330 0.776 0.564
Hg: 0.672 0.547 0.109
Hg: 0.328 0.453 0.891
Hg: 0.010 0.660 0.320
Hg: 0.990 0.340 0.680

***

Compound: Hf2ScGa
Source: Alexandria via LeMat-Bulk
Functional: PBE
Structure: relaxed

Its formation energy from the elements is 205 meV per atom. The total magnetization is 0.00 Bohr magnetons per cell. For the volume, the calculation gives 176.0 Å³ per cell. Its crystal system is tetragonal. The electronic total energy is -56.89 eV/cell. As for the space group: No. 122.

abc: 7.872 7.872 6.249
angles: 50.96 50.96 90.00
Sites, in units of the cell vectors:
Hf: 0.655 0.125 0.250
Hf: 0.095 0.625 0.250
Hf: 0.875 0.905 0.750
Hf: 0.375 0.345 0.750
Ga: 0.750 0.250 0.500
Ga: 0.000 0.000 0.000
Sc: 0.250 0.750 0.500
Sc: 0.500 0.500 0.000

***

Compound: In3BiB
Source: Alexandria via LeMat-Bulk
Functional: PBE
Structure: relaxed

Its formation energy from the elements is 414 meV per atom. The total magnetization is 0.00 Bohr magnetons per cell. The calculation puts the energy above the lowest structure with this stoichiometry at 0.000 eV per atom. For the volume, the calculation gives 118.9 Å³ per cell. Its crystal system is cubic. The electronic total energy is -16.71 eV/cell. As for the space group: No. 221.

abc: 4.917 4.917 4.917
angles: 90.00 90.00 90.00
Sites, in units of the cell vectors:
B: 0.000 0.000 0.000
In: 0.500 0.000 0.000
In: 0.000 0.000 0.500
In: 0.000 0.500 0.000
Bi: 0.500 0.500 0.500

***

Compound: SrCrRe2
Source: Alexandria via LeMat-Bulk
Functional: PBE
Structure: relaxed

Its formation energy from the elements is 817 meV per atom. The total magnetization is 0.00 Bohr magnetons per cell. The calculation puts the energy above the lowest structure with this stoichiometry at 0.194 eV per atom. For the volume, the calculation gives 79.5 Å³ per cell. Its crystal system is monoclinic. The electronic total energy is -32.94 eV/cell. As for the space group: No. 12.

abc: 4.946 4.946 5.842
angles: 76.09 76.09 35.08
Sites, in units of the cell vectors:
Re: 0.960 0.960 0.102
Re: 0.540 0.540 0.398
Cr: 0.250 0.250 0.250
Sr: 0.750 0.750 0.750